# 1
GdHoEr2: relaxed, PBE.

## Properties
Offset from the most stable computed form, meV per atom: 2
Energy of formation from the pure elements, meV per atom: 25
Space group: R-3m (166)
VASP energy, eV/atom: -6.921

Cell lengths 11.682, 11.682, 11.682 Å; angles 17.39, 17.39, 17.39 degrees
Sites, in units of the cell vectors:
Gd 0.000 0.000 0.000
Ho 0.500 0.500 0.500
Er 0.249 0.249 0.249
Er 0.751 0.751 0.751

***

# 2
Gd2HoEr: relaxed, PBE.

## Properties
Offset from the most stable computed form, meV per atom: 2
Energy of formation from the pure elements, meV per atom: 29
Space group: P4/mmm (123)
VASP energy, eV/atom: -9.297

Cell lengths 5.020, 5.020, 4.999 Å; angles 90.00, 90.00, 90.00 degrees
Sites, in units of the cell vectors:
Gd 0.000 0.500 0.000
Gd 0.500 0.000 0.000
Ho 0.000 0.000 0.500
Er 0.500 0.500 0.500

***

# 3
GdHoErIn: relaxed, PBE.

## Properties
Energy of formation from the pure elements, meV per atom: -142
Space group: F-43m (216)
VASP energy, eV/atom: -6.632

Cell lengths 5.435, 5.435, 5.435 Å; angles 60.00, 60.00, 60.00 degrees
Sites, in units of the cell vectors:
Gd 0.000 0.000 0.000
Ho 0.750 0.750 0.750
Er 0.500 0.500 0.500
In 0.250 0.250 0.250

***

# 4
LaGdHoEr: relaxed, PBE.

## Properties
Energy of formation from the pure elements, meV per atom: 96
Space group: F-43m (216)
VASP energy, eV/atom: -6.941

Cell lengths 5.726, 5.726, 5.726 Å; angles 60.00, 60.00, 60.00 degrees
Sites, in units of the cell vectors:
La 0.000 0.000 0.000
Gd 0.500 0.500 0.500
Ho 0.750 0.750 0.750
Er 0.250 0.250 0.250